Sr2RhPb | GGA-PBE | optimized geometry

Unit cell a=10.9572 b=10.9572 c=8.1823 alpha=47.97 beta=47.97 gamma=90.00
Positions (direct):
1 Pb 0.0000 0.0000 0.0000
2 Pb 0.7500 0.2500 0.5000
3 Sr 0.4613 0.1250 0.2500
4 Sr 0.2887 0.6250 0.2500
5 Sr 0.3750 0.5387 0.7500
6 Sr 0.8750 0.7113 0.7500
7 Rh 0.5000 0.5000 0.0000
8 Rh 0.2500 0.7500 0.5000

As for the energy of formation from the pure elements: -0.98 eV per formula unit. The calculation puts the total energy at -30.8 eV per cell. For the total magnetization, the calculation gives 0.00 μB per cell. The density of states at the Fermi level is 4.2 states/eV/cell. Its symmetry is I-42d (122).

---

BaSb2Au | GGA-PBE | optimized geometry

Unit cell a=4.1442 b=4.1442 c=7.9552 alpha=90.00 beta=90.00 gamma=112.74
Positions (direct):
1 Au 0.5000 0.5000 0.2500
2 Ba 0.5000 0.5000 0.7500
3 Sb 0.0000 0.0000 0.0527
4 Sb 0.0000 0.0000 0.4473

The calculation puts the total energy at -14.6 eV per cell. For the total magnetization, the calculation gives 0.00 μB per cell. The density of states at the Fermi level is 1.8 states/eV/cell. Its symmetry is Cmmm (65).

---

SiNi2Ru | GGA-PBE | optimized geometry

Unit cell a=3.8003 b=2.6680 c=4.9356 alpha=74.01 beta=90.00 gamma=90.00
Positions (direct):
1 Ni 0.0000 0.8979 0.9857
2 Ni 0.0000 0.6021 0.5143
3 Ru 0.5000 0.2500 0.2500
4 Si 0.5000 0.7500 0.7500

The calculation puts the total energy at -27.0 eV per cell. For the total magnetization, the calculation gives 0.00 μB per cell. The density of states at the Fermi level is 6.0 states/eV/cell. Its symmetry is P2/m (10).

---

TmScHgAu | GGA-PBE | optimized geometry

Unit cell a=5.0098 b=5.0098 c=5.0098 alpha=60.00 beta=60.00 gamma=60.00
Positions (direct):
1 Sc 0.2500 0.2500 0.2500
2 Tm 0.7500 0.7500 0.7500
3 Au 0.0000 0.0000 0.0000
4 Hg 0.5000 0.5000 0.5000

As for the energy of formation from the pure elements: -2.52 eV per formula unit. The calculation puts the total energy at -16.9 eV per cell. For the total magnetization, the calculation gives 0.00 μB per cell. The density of states at the Fermi level is 3.3 states/eV/cell. Its symmetry is F-43m (216).

---

PmSm3Pu2Te6 | GGA-PBE | optimized geometry

Unit cell a=4.4281 b=8.9147 c=9.9447 alpha=103.17 beta=102.86 gamma=90.00
Positions (direct):
1 Pm 0.5000 0.0000 0.0000
2 Sm 0.5000 0.5000 0.0000
3 Sm 0.8346 0.1660 0.6692
4 Sm 0.1654 0.8340 0.3308
5 Pu 0.8338 0.6668 0.6675
6 Pu 0.1662 0.3332 0.3325
7 Te 0.3324 0.9142 0.6649
8 Te 0.6673 0.5826 0.3346
9 Te 0.6676 0.0858 0.3351
10 Te 0.0008 0.2518 0.0015
11 Te 0.9992 0.7482 0.9985
12 Te 0.3327 0.4174 0.6654

The calculation puts the total energy at -82.1 eV per cell. For the total magnetization, the calculation gives 11.93 μB per cell. The density of states at the Fermi level is 23.9 states/eV/cell. Its symmetry is C2/m (12).

---

KZr2Ni | GGA-PBE | optimized geometry

Unit cell a=4.8668 b=4.8668 c=4.8668 alpha=60.00 beta=60.00 gamma=60.00
Positions (direct):
1 Ni 0.5000 0.5000 0.5000
2 K 0.0000 0.0000 0.0000
3 Zr 0.2500 0.2500 0.2500
4 Zr 0.7500 0.7500 0.7500

As for the energy of formation from the pure elements: 3.34 eV per formula unit. The calculation puts the total energy at -20.6 eV per cell. For the total magnetization, the calculation gives 0.00 μB per cell. The density of states at the Fermi level is 7.1 states/eV/cell. Its symmetry is Fm-3m (225).

---

Sr3Tb2PaP6 | GGA-PBE | optimized geometry

Unit cell a=7.2110 b=7.2110 c=7.3525 alpha=99.42 beta=99.42 gamma=120.04
Positions (direct):
1 Sr 0.1692 0.8308 0.5000
2 Sr 0.8308 0.1692 0.5000
3 Sr 0.5000 0.5000 0.5000
4 Tb 0.3335 0.6665 0.0000
5 Tb 0.6665 0.3335 0.0000
6 Pa 0.0000 0.0000 0.0000
7 P 0.9274 0.6035 0.7818
8 P 0.7494 0.7494 0.2186
9 P 0.0726 0.3965 0.2182
10 P 0.6035 0.9274 0.7818
11 P 0.2506 0.2506 0.7814
12 P 0.3965 0.0726 0.2182

As for the energy of formation from the pure elements: -15.24 eV per formula unit. The calculation puts the total energy at -71.5 eV per cell. For the total magnetization, the calculation gives 0.00 μB per cell. The density of states at the Fermi level is 10.4 states/eV/cell. Its symmetry is C2/m (12).

---

CdOsAu | GGA-PBE | optimized geometry

Unit cell a=5.1594 b=5.1594 c=5.1594 alpha=149.46 beta=131.15 gamma=58.71
Positions (direct):
1 Os 0.6633 0.6633 0.0000
2 Au 0.0054 0.0054 0.0000
3 Cd 0.3313 0.3313 0.0000

As for the energy of formation from the pure elements: 1.92 eV per formula unit. The calculation puts the total energy at -13.5 eV per cell. For the total magnetization, the calculation gives 0.00 μB per cell. The density of states at the Fermi level is 2.1 states/eV/cell. Its symmetry is Imm2 (44).

---

Tb6CeSm2 | GGA-PBE | optimized geometry

Unit cell a=7.3381 b=7.3381 c=7.6197 alpha=61.22 beta=61.22 gamma=60.00
Positions (direct):
1 Tb 0.7781 0.2588 0.7043
2 Tb 0.2588 0.7781 0.7043
3 Tb 0.2588 0.2588 0.7043
4 Tb 0.0549 0.6081 0.2823
5 Tb 0.0548 0.0549 0.2823
6 Tb 0.6081 0.0548 0.2823
7 Ce 0.3179 0.3179 0.0462
8 Sm 0.7553 0.7553 0.7342
9 Sm 0.5791 0.5791 0.2628

As for the energy of formation from the pure elements: 2.60 eV per formula unit. The calculation puts the total energy at -40.6 eV per cell. For the total magnetization, the calculation gives 0.00 μB per cell. The density of states at the Fermi level is 9.0 states/eV/cell. Its symmetry is R3m (160).

---

Pa4Tl | GGA-PBE | optimized geometry

Unit cell a=5.6271 b=5.6271 c=5.6271 alpha=90.00 beta=90.00 gamma=90.00
Positions (direct):
1 Tl 0.5000 0.5000 0.5000
2 Pa 0.0000 0.0000 0.0000
3 Pa 0.5000 0.0000 0.5000
4 Pa 0.0000 0.5000 0.5000
5 Pa 0.5000 0.5000 0.0000

As for the energy of formation from the pure elements: 8.60 eV per formula unit. The calculation puts the total energy at -31.7 eV per cell. For the total magnetization, the calculation gives 2.82 μB per cell. The density of states at the Fermi level is 18.5 states/eV/cell. Its symmetry is Pm-3m (221).

---

Cs3Tl2I2Br3 | GGA-PBE | optimized geometry

Unit cell a=5.6282 b=5.6282 c=18.2895 alpha=98.85 beta=98.85 gamma=90.00
Positions (direct):
1 Cs 0.6011 0.6011 0.2023
2 Cs 0.3989 0.3989 0.7977
3 Cs 0.0000 0.0000 0.0000
4 Tl 0.7994 0.7994 0.5987
5 Tl 0.2006 0.2006 0.4013
6 I 0.7500 0.2500 0.5000
7 I 0.2500 0.7500 0.5000
8 Br 0.9006 0.9006 0.8012
9 Br 0.5000 0.5000 0.0000
10 Br 0.0994 0.0994 0.1988

The calculation puts the total energy at -27.7 eV per cell. For the total magnetization, the calculation gives 0.00 μB per cell. The density of states at the Fermi level is 0.0 states/eV/cell. Its symmetry is I4/mmm (139).

---

YTaAlW2 | GGA-PBE | optimized geometry

Unit cell a=4.8270 b=4.9750 c=4.8270 alpha=90.00 beta=90.00 gamma=90.00
Positions (direct):
1 Y 0.5000 0.5000 0.5000
2 Al 0.0000 0.5000 0.0000
3 W 0.0000 0.0000 0.5000
4 W 0.5000 0.0000 0.0000
5 Ta 0.0000 0.0000 0.0000

As for the energy of formation from the pure elements: 6.42 eV per formula unit. The calculation puts the total energy at -41.5 eV per cell. For the total magnetization, the calculation gives 0.00 μB per cell. The density of states at the Fermi level is 5.9 states/eV/cell. Its symmetry is P4/mmm (123).

---

Please write out number 3 again, unchanged.
SiNi2Ru | GGA-PBE | optimized geometry

Unit cell a=3.8003 b=2.6680 c=4.9356 alpha=74.01 beta=90.00 gamma=90.00
Positions (direct):
1 Ni 0.0000 0.8979 0.9857
2 Ni 0.0000 0.6021 0.5143
3 Ru 0.5000 0.2500 0.2500
4 Si 0.5000 0.7500 0.7500

The calculation puts the total energy at -27.0 eV per cell. For the total magnetization, the calculation gives 0.00 μB per cell. The density of states at the Fermi level is 6.0 states/eV/cell. Its symmetry is P2/m (10).